A plane-wave DFT calculation with GGA-PBE was carried out for a relaxed DyPaIr crystal.

Structure (extended XYZ):
```
3
Lattice="-3.184 1.014 1.758 -2.395 -2.881 -2.676 1.737 -1.480 3.999" Properties=species:S:1:pos:R:3 pbc="T T T"
Pa -0.539 -1.661 2.270
Ir -0.088 0.028 0.049
Dy -3.215 -1.714 0.762
```

## Properties
- Calculated total energy: -23.7 eV per formula unit
- Spin magnetization: 0.0 μB per formula unit
- E_form: -0.24 eV/atom


A plane-wave DFT calculation with GGA-PBE was carried out for a relaxed DyNb2Ni9 crystal.

Structure (extended XYZ):
```
12
Lattice="4.824 0.000 0.000 2.412 4.178 0.000 2.412 1.393 7.871" Properties=species:S:1:pos:R:3 pbc="T T T"
Ni 4.824 2.785 0.007
Ni 4.824 4.197 2.040
Ni 6.047 2.079 2.040
Dy 0.000 0.000 0.000
Ni 4.824 1.373 5.831
Nb 7.236 4.178 3.349
Ni 3.601 2.079 2.040
Nb 2.412 1.393 4.521
Ni 3.601 3.491 5.831
Ni 6.047 3.491 5.831
Ni 4.824 2.785 3.935
Ni 4.824 2.785 7.863
```

## Properties
- Calculated total energy: -80.1 eV per formula unit
- Spin magnetization: 0.0 μB per formula unit
- E_form: -0.28 eV/atom


A plane-wave DFT calculation with GGA-PBE was carried out for a relaxed Hf3Ga3Rh2 crystal.

Structure (extended XYZ):
```
32
Lattice="5.420 0.000 0.000 0.000 8.040 0.000 0.000 0.000 13.003" Properties=species:S:1:pos:R:3 pbc="T T T"
Hf 4.732 4.233 7.993
Hf 0.775 1.513 9.752
Hf 0.689 3.807 5.010
Hf 4.732 4.233 11.512
Ga 4.596 6.422 9.752
Rh 4.596 0.636 1.546
Rh 1.886 3.385 11.457
Rh 0.825 7.405 11.457
Hf 4.645 6.528 3.251
Rh 3.535 4.656 4.955
Ga 0.512 1.605 12.615
Ga 0.512 1.605 6.890
Ga 3.534 2.402 9.752
Hf 1.935 5.533 9.752
Ga 2.198 5.625 12.615
Ga 4.909 6.436 6.113
Rh 4.596 0.636 4.955
Rh 0.825 7.405 8.048
Ga 3.222 2.416 0.388
Hf 3.486 2.507 3.251
Hf 3.399 0.213 11.512
Ga 1.886 5.638 3.251
Ga 2.198 5.625 6.890
Ga 4.909 6.436 0.388
Hf 2.021 7.828 5.010
Ga 0.824 1.618 3.251
Hf 2.021 7.828 1.491
Rh 1.886 3.385 8.048
Hf 0.689 3.807 1.491
Rh 3.535 4.656 1.546
Hf 3.399 0.213 7.993
Ga 3.222 2.416 6.113
```

## Properties
- Calculated total energy: -58.8 eV per formula unit
- Spin magnetization: 0.0 μB per formula unit
- E_form: -0.64 eV/atom


A plane-wave DFT calculation with GGA-PBE was carried out for a relaxed Pm6In2Hg crystal.

Structure (extended XYZ):
```
9
Lattice="-4.019 0.452 2.120 1.379 -7.204 4.151 2.564 7.322 3.299" Properties=species:S:1:pos:R:3 pbc="T T T"
Pm -1.185 -4.081 3.542
Pm -0.424 0.273 4.056
Pm 0.679 1.937 0.874
Pm 0.365 -1.905 1.098
Hg -0.630 -6.978 5.211
In 2.169 2.480 3.584
Pm -0.477 4.603 3.032
Pm 2.899 0.086 5.479
In 1.774 -2.363 3.867
```

## Properties
- Calculated total energy: -36.9 eV per formula unit
- Spin magnetization: 0.0 μB per formula unit
- E_form: -0.29 eV/atom